# LiCoPO4 PBE+U optimized geometry
data_LiCoPO4
_chemical_formula_sum 'Li12 Co12 P12 O48'
_symmetry_space_group_name_H-M 'P 64 2 2'
_symmetry_Int_Tables_number 181
_symmetry_space_group_name_Hall 'P 64 2 (0 0 2)'
_cell_length_a 10.7171
_cell_length_b 10.7171
_cell_length_c 11.4353
_cell_angle_alpha 90.00
_cell_angle_beta 90.00
_cell_angle_gamma 120.00
loop_
_atom_site_label
_atom_site_fract_x
_atom_site_fract_y
_atom_site_fract_z
Li1 0.0000 0.0000 0.0000
Li2 0.0000 0.5000 0.1441
Li3 0.0000 0.5000 0.8333
Co1 0.0000 0.2455 0.8333
Co2 0.2393 0.4785 0.5000
P1 0.0000 0.2505 0.3333
P2 0.2558 0.5117 0.0000
O1 0.0441 0.3580 0.4367
O2 0.0961 0.2182 0.7007
O3 0.1339 0.4255 0.9106
O4 0.1989 0.5984 0.6011
# **M_tot**: 0.429 μB per atom
# **Calculated volume**: 94.79 Å³/f.u.
# **Offset from the most stable computed form**: 77 meV/atom
# **Calculated density**: 2.82 g/cm3